# CsBiPb2 PBE optimized geometry
# **Calculated volume**: 162 Å³/cell
# **D(E_F)**: 1.01 states/eV/f.u.
# **ΔH_f (0 K)**: -0.13 eV/atom
# **Crystal system**: tetragonal
data_CsBiPb2
_chemical_formula_sum 'Cs1 Bi1 Pb2'
_cell_length_a 4.389
_cell_length_b 4.389
_cell_length_c 8.399
_cell_angle_alpha 90.00
_cell_angle_beta 90.00
_cell_angle_gamma 90.00
_symmetry_space_group_name_H-M 'P 1'
_symmetry_Int_Tables_number 1
_symmetry_space_group_name_Hall 'P 1'
loop_
_atom_site_label
_atom_site_type_symbol
_atom_site_fract_x
_atom_site_fract_y
_atom_site_fract_z
Cs1 Cs 0.500 0.500 0.500
Pb1 Pb 0.000 0.000 0.823
Pb2 Pb 0.000 0.000 0.177
Bi1 Bi 0.500 0.500 0.000



# InTc3S PBE optimized geometry
# **Calculated volume**: 116 Å³/cell
# **D(E_F)**: 7.21 states/eV/f.u.
# **ΔE to the lowest computed polymorph**: 2362 meV/atom
# **Crystal system**: cubic
# **Formation energy from raw total energies**: 2.68 eV/atom
data_InTc3S
_chemical_formula_sum 'In1 Tc3 S1'
_cell_length_a 4.870
_cell_length_b 4.870
_cell_length_c 4.870
_cell_angle_alpha 90.00
_cell_angle_beta 90.00
_cell_angle_gamma 90.00
_symmetry_space_group_name_H-M 'P 1'
_symmetry_Int_Tables_number 1
_symmetry_space_group_name_Hall 'P 1'
loop_
_atom_site_label
_atom_site_type_symbol
_atom_site_fract_x
_atom_site_fract_y
_atom_site_fract_z
Tc1 Tc 0.000 0.500 0.000
Tc2 Tc 0.500 0.000 0.000
Tc3 Tc 0.000 0.000 0.500
S1 S 0.500 0.500 0.500
In1 In 0.000 0.000 0.000